Entry from Alexandria: a relaxed Pr2UO6 crystal (PBE).

Structure (extended XYZ):
```
9
Lattice="3.951 0.000 -0.153 0.000 5.563 0.000 -1.753 -2.781 5.810" Properties=species:S:1:pos:R:3 pbc="T T T"
Pr 2.049 2.781 1.808
Pr 0.149 0.000 3.848
U 0.000 0.000 0.000
O 0.067 1.304 1.725
O 2.131 -1.477 3.931
O 2.131 1.477 3.931
O 1.976 1.238 -0.077
O 0.067 4.259 1.725
O 1.976 4.325 -0.077
```

***

Entry from Alexandria: a relaxed PrU2O7 crystal (PBE).

Structure (extended XYZ):
```
10
Lattice="3.810 0.000 0.670 1.846 3.333 0.670 0.085 0.050 10.696" Properties=species:S:1:pos:R:3 pbc="T T T"
Pr 2.871 1.692 6.017
U 0.442 0.260 8.662
U 5.300 3.123 3.372
O 4.142 2.441 9.959
O 3.303 1.946 3.555
O 0.000 0.000 0.000
O 1.599 0.942 2.075
O 0.814 0.480 6.545
O 4.928 2.903 5.490
O 2.438 1.437 8.479
```

***

Entry from Alexandria: a relaxed PrU2O8 crystal (PBE).

Structure (extended XYZ):
```
11
Lattice="-3.694 -0.339 -1.628 2.744 0.903 -5.404 0.078 -5.780 2.033" Properties=species:S:1:pos:R:3 pbc="T T T"
Pr -1.847 -0.169 -0.814
U 0.939 -3.621 -0.370
U 1.882 -1.256 -3.001
O -0.880 -3.353 -5.232
O -1.585 -5.120 -3.265
O 0.550 -3.037 -2.532
O 0.230 -0.938 -4.358
O -1.102 -4.277 -0.641
O -1.422 -2.178 -2.467
O 0.712 -0.095 -1.733
O 0.008 -1.862 0.233
```

***

Entry from Alexandria: a relaxed Pr3UO6 crystal (PBE).

Structure (extended XYZ):
```
20
Lattice="-5.150 -3.081 3.709 -1.217 -4.415 -5.366 4.670 -4.551 2.693" Properties=species:S:1:pos:R:3 pbc="T T T"
Pr -0.013 -9.020 -1.275
Pr -3.579 -8.349 0.682
Pr -1.622 -3.388 -1.795
Pr -0.074 -8.658 2.831
Pr 1.882 -3.697 0.354
Pr -1.684 -3.026 2.311
U 0.000 0.000 0.000
U -0.848 -6.023 0.518
O -2.427 -5.132 -3.459
O 1.488 -7.648 -2.800
O -1.836 -7.422 -0.891
O -5.178 -6.459 0.112
O 0.661 -7.635 0.725
O 0.256 -4.895 -1.040
O -1.952 -7.151 2.076
O -2.357 -4.411 0.311
O 3.482 -5.587 0.924
O 0.140 -4.624 1.926
O -3.184 -4.398 3.836
O 0.730 -6.914 4.495
```

***

Entry from Alexandria: a relaxed Pr2U2O7 crystal (PBE).

Structure (extended XYZ):
```
22
Lattice="6.792 0.000 3.922 2.264 6.404 3.922 0.000 0.000 7.843" Properties=species:S:1:pos:R:3 pbc="T T T"
Pr 5.660 4.002 9.804
Pr 5.660 4.002 5.882
Pr 4.528 0.800 7.843
Pr 2.264 4.002 7.843
U 4.528 0.800 3.922
U 2.264 4.002 3.922
U 1.132 0.800 5.882
U 1.132 0.800 1.961
O 2.020 1.428 7.843
O 3.274 4.975 5.671
O 3.274 0.173 5.671
O 4.284 3.029 3.922
O 6.792 4.803 11.765
O 5.782 1.428 5.671
O 3.274 0.173 2.172
O 1.254 3.029 5.671
O 0.244 0.173 3.922
O 1.254 3.029 2.172
O 3.274 4.975 10.015
O 4.528 3.202 7.843
O 5.782 1.428 10.015
O 7.036 4.975 7.843
```

***

Entry from Alexandria: a relaxed Pr5U2O12 crystal (PBE).

Structure (extended XYZ):
```
19
Lattice="6.431 0.000 0.000 -3.215 6.260 -1.979 0.000 -0.004 7.893" Properties=species:S:1:pos:R:3 pbc="T T T"
Pr 0.000 3.732 3.826
Pr 0.000 3.829 0.185
Pr 0.000 -0.002 3.946
Pr 3.215 2.427 5.729
Pr 3.215 2.525 2.088
U 4.891 0.000 0.000
U 1.539 0.000 0.000
O 3.215 6.253 -0.393
O -1.497 4.148 5.889
O 1.497 4.148 5.889
O -1.597 4.306 1.996
O 1.597 4.306 1.996
O 3.215 0.023 6.417
O 0.000 6.233 -0.503
O 4.812 1.951 3.918
O 1.619 1.951 3.918
O 4.712 2.108 0.025
O 1.719 2.108 0.025
O 0.000 0.003 6.307
```

***

Entry from Alexandria: a relaxed PrY2UO8 crystal (PBE).

Structure (extended XYZ):
```
12
Lattice="3.929 -0.023 -0.002 0.030 5.355 -0.006 0.004 0.008 7.688" Properties=species:S:1:pos:R:3 pbc="T T T"
Pr 0.002 0.004 3.844
Y 1.983 2.672 5.850
Y 1.980 2.668 1.830
U 0.000 0.000 0.000
O 0.024 4.055 1.697
O 1.989 4.105 -0.006
O 3.936 1.280 1.698
O 3.939 1.285 5.983
O 1.970 1.226 -0.002
O 0.027 4.059 5.982
O 1.989 3.900 3.839
O 1.975 1.440 3.841
```

***

Entry from Alexandria: a relaxed PrYUO6 crystal (PBE).

Structure (extended XYZ):
```
18
Lattice="-2.140 -0.979 -5.340 5.768 0.369 0.809 0.392 -9.656 1.613" Properties=species:S:1:pos:R:3 pbc="T T T"
Pr 0.000 0.000 0.000
Pr 0.196 -4.828 0.807
Y 3.230 -2.494 -0.837
Y 0.790 -7.771 -2.080
U 0.594 -2.944 -2.887
U 3.426 -7.322 -0.031
O 2.312 -1.741 -2.786
O -0.074 -2.161 -4.717
O 5.154 -6.130 0.003
O 4.094 -8.104 1.800
O 1.326 -3.728 -1.082
O 1.722 -4.218 -4.115
O 4.608 -8.588 -1.217
O -1.135 -4.135 -2.920
O 2.297 -6.047 1.198
O -0.589 -1.678 -1.700
O 2.694 -6.538 -1.835
O 1.707 -8.524 -0.131
```

***

no.,M_tot (μB/f.u.),uncorrected formation energy (kcal/mol of atoms),N(E_F) (states/eV/atom)
1,0.0,-77.1,0.00
2,1.0,-74.5,0.74
3,1.0,-65.6,0.01
4,3.0,-72.5,0.78
5,4.0,-75.8,1.06
6,3.0,-75.8,0.15
7,0.8,-74.3,0.34
8,0.0,-76.5,0.00